Ac4SnSe7 | PBE-GGA | optimized geometry

Unit cell a=7.6112 b=7.6112 c=12.8231 alpha=104.72 beta=104.72 gamma=33.37
Positions (direct):
1 Ac 0.0000 0.0000 0.0000
2 Ac 0.2076 0.2076 0.7759
3 Ac 0.5948 0.5948 0.3776
4 Ac 0.8998 0.8998 0.5621
5 Sn 0.7699 0.7699 0.1397
6 Se 0.1526 0.1526 0.2178
7 Se 0.2404 0.2404 0.5232
8 Se 0.3614 0.3614 0.0345
9 Se 0.5592 0.5592 0.6221
10 Se 0.6242 0.6242 0.9238
11 Se 0.8543 0.8543 0.7799
12 Se 0.9397 0.9397 0.3421

Symmetry ... Cm, No. 8

---

AcSnSe2 | PBE-GGA | optimized geometry

Unit cell a=9.4977 b=9.4977 c=9.4977 alpha=27.33 beta=27.33 gamma=27.33
Positions (direct):
1 Ac 0.0000 0.0000 0.0000
2 Sn 0.5000 0.5000 0.5000
3 Se 0.3950 0.3950 0.3950
4 Se 0.6050 0.6050 0.6050

Symmetry ... R-3m, No. 166

---

Ac2SnSe | PBE-GGA | optimized geometry

Unit cell a=9.5771 b=9.5771 c=9.5771 alpha=30.93 beta=30.93 gamma=30.93
Positions (direct):
1 Ac 0.1043 0.1043 0.1043
2 Ac 0.8957 0.8957 0.8957
3 Sn 0.5000 0.5000 0.5000
4 Se 0.0000 0.0000 0.0000

Offset from the most stable computed form ... 0.543 eV per atom
Symmetry ... R-3m, No. 166

---

AcSn6Se8 | PBE-GGA | optimized geometry

Unit cell a=10.6257 b=10.6257 c=4.5739 alpha=90.00 beta=90.00 gamma=120.00
Positions (direct):
1 Ac 0.0000 0.0000 0.0000
2 Sn 0.1252 0.4519 0.1679
3 Sn 0.3266 0.8748 0.1679
4 Sn 0.4519 0.3266 0.8321
5 Sn 0.5481 0.6734 0.1679
6 Sn 0.6734 0.1252 0.8321
7 Sn 0.8748 0.5481 0.8321
8 Se 0.0331 0.7443 0.2759
9 Se 0.2557 0.2888 0.2759
10 Se 0.2888 0.0331 0.7241
11 Se 0.3333 0.6667 0.7714
12 Se 0.6667 0.3333 0.2286
13 Se 0.7112 0.9669 0.2759
14 Se 0.7443 0.7112 0.7241
15 Se 0.9669 0.2557 0.7241

Offset from the most stable computed form ... 0.000 eV per atom
Symmetry ... P-3, No. 147

---

AcSn5Se7 | PBE-GGA | optimized geometry

Unit cell a=7.3327 b=7.3327 c=24.9258 alpha=90.00 beta=90.00 gamma=146.11
Positions (direct):
1 Ac 0.2104 0.7896 0.5000
2 Ac 0.7896 0.2104 0.0000
3 Sn 0.0029 0.9971 0.2536
4 Sn 0.2592 0.7408 0.8337
5 Sn 0.2742 0.7258 0.1834
6 Sn 0.4556 0.5444 0.6108
7 Sn 0.4770 0.5230 0.4046
8 Sn 0.5230 0.4770 0.9046
9 Sn 0.5444 0.4556 0.1108
10 Sn 0.7258 0.2742 0.6834
11 Sn 0.7408 0.2592 0.3337
12 Sn 0.9971 0.0029 0.7536
13 Se 0.0895 0.9105 0.6499
14 Se 0.1168 0.8832 0.3763
15 Se 0.1664 0.8336 0.9338
16 Se 0.1893 0.8107 0.0793
17 Se 0.3591 0.6409 0.7200
18 Se 0.3736 0.6264 0.2937
19 Se 0.4479 0.5521 0.0092
20 Se 0.5521 0.4479 0.5092
21 Se 0.6264 0.3736 0.7937
22 Se 0.6409 0.3591 0.2200
23 Se 0.8107 0.1893 0.5793
24 Se 0.8336 0.1664 0.4338
25 Se 0.8832 0.1168 0.8763
26 Se 0.9105 0.0895 0.1499

Symmetry ... Cmc2_1, No. 36

---

Ac2SnSe | PBE-GGA | optimized geometry

Unit cell a=5.6773 b=5.6773 c=5.6773 alpha=60.00 beta=60.00 gamma=60.00
Positions (direct):
1 Ac 0.2500 0.2500 0.2500
2 Ac 0.7500 0.7500 0.7500
3 Sn 0.0000 0.0000 0.0000
4 Se 0.5000 0.5000 0.5000

Offset from the most stable computed form ... 0.258 eV per atom
Symmetry ... Fm-3m, No. 225

---

| no. | raw formation energy (meV/atom) |
| --- | --- |
| 1 | -1725 |
| 2 | -1042 |
| 3 | -766 |
| 4 | -592 |
| 5 | -720 |
| 6 | -1051 |